[1]
! MnIr2Se6, optimized geometry, DFT GGA-PBE; values from VASP
&SYSTEM
  ibrav = 0, nat = 27, ntyp = 3
/
ATOMIC_SPECIES
Mn 54.94 Mn.upf
Ir 192.22 Ir.upf
Se 78.96 Se.upf
CELL_PARAMETERS angstrom
-1.5392 4.8274 0.7054
-5.3941 -3.0675 9.2220
10.5997 3.2926 0.5965
ATOMIC_POSITIONS angstrom
Mn -0.8579 1.5461 6.7112
Mn 4.5243 3.5064 3.8127
Mn 0.0000 0.0000 0.0000
Ir 3.5604 1.1060 0.2003
Ir 3.4571 0.1495 6.5205
Ir -1.8119 -1.0303 3.0976
Ir 7.0393 2.1866 0.3961
Ir 1.7485 0.0756 3.2980
Ir -3.5823 -2.0371 6.1244
Se -0.5101 0.0444 8.8199
Se -2.3789 -0.0364 5.2952
Se 1.4263 1.1456 5.5093
Se 2.2401 3.9069 5.0145
Se 6.0453 5.0889 5.2287
Se 4.1765 5.0080 1.7040
Se -1.1741 2.9396 4.6384
Se 0.6531 3.0186 8.0848
Se -3.0675 1.8629 7.8754
Se 4.0793 4.1432 8.2066
Se 0.6270 3.9939 1.6952
Se 7.6566 6.1775 2.0907
Se -3.9902 -1.1250 8.4331
Se 3.0394 1.0586 8.8287
Se -0.4129 0.9093 2.3172
Se 4.8405 2.1129 5.8854
Se 3.0133 2.0339 2.4391
Se 6.7339 3.1896 2.6484
! ΔE_f (raw): -0.278 eV/atom
! M_tot: 0.3213 μB/atom


[2]
! MnIr2Se, optimized geometry, DFT GGA-PBE; values from VASP
&SYSTEM
  ibrav = 0, nat = 4, ntyp = 3
/
ATOMIC_SPECIES
Ir 192.22 Ir.upf
Mn 54.94 Mn.upf
Se 78.96 Se.upf
CELL_PARAMETERS angstrom
-4.2545 1.3307 1.2434
-4.3288 0.4836 -1.5638
-1.8577 -4.2059 1.3184
ATOMIC_POSITIONS angstrom
Ir -1.8876 -4.1392 1.2990
Ir -5.1906 -1.2625 0.5184
Mn -7.8307 -1.7936 0.7485
Se -2.6102 -0.5979 0.2495
! ΔE_f (raw): 0.162 eV/atom
! M_tot: 0.9056 μB/atom


[3]
! Mn3IrSe, optimized geometry, DFT GGA-PBE; values from VASP
&SYSTEM
  ibrav = 0, nat = 5, ntyp = 3
/
ATOMIC_SPECIES
Mn 54.94 Mn.upf
Ir 192.22 Ir.upf
Se 78.96 Se.upf
CELL_PARAMETERS angstrom
4.8340 0.0000 0.0000
0.0000 4.8340 0.0000
0.0000 0.0000 4.8340
ATOMIC_POSITIONS angstrom
Mn 0.0000 2.4170 0.0000
Mn 0.0000 0.0000 2.4170
Mn 2.4170 0.0000 0.0000
Ir 0.0000 0.0000 0.0000
Se 2.4170 2.4170 2.4170
! ΔE_f (raw): 0.806 eV/atom
! M_tot: 2.6785 μB/atom


[4]
! MnIr2Se, optimized geometry, DFT GGA-PBE; values from VASP
&SYSTEM
  ibrav = 0, nat = 4, ntyp = 3
/
ATOMIC_SPECIES
Ir 192.22 Ir.upf
Mn 54.94 Mn.upf
Se 78.96 Se.upf
CELL_PARAMETERS angstrom
-2.1507 0.6395 -1.9129
-1.9481 0.0659 2.2123
1.2257 6.7494 0.8783
ATOMIC_POSITIONS angstrom
Ir 0.0148 0.0817 0.0106
Ir 0.5980 3.2930 0.4285
Mn -1.7430 2.0400 0.3693
Se -1.1301 5.4148 0.8085
! ΔE_f (raw): 0.211 eV/atom
! M_tot: 0.9306 μB/atom


[5]
! MnIr2Se, optimized geometry, DFT GGA-PBE; values from VASP
&SYSTEM
  ibrav = 0, nat = 4, ntyp = 3
/
ATOMIC_SPECIES
Ir 192.22 Ir.upf
Mn 54.94 Mn.upf
Se 78.96 Se.upf
CELL_PARAMETERS angstrom
2.8977 0.0000 0.0000
0.0000 2.8977 0.0000
0.0000 0.0000 7.0906
ATOMIC_POSITIONS angstrom
Ir 0.0000 0.0000 7.0757
Ir 1.4488 1.4488 1.8520
Mn 0.0000 0.0000 3.5391
Se 1.4488 1.4488 5.2598
! ΔE_f (raw): 0.251 eV/atom
! M_tot: 0.7089 μB/atom


[6]
! MnIr2Se, optimized geometry, DFT GGA-PBE; values from VASP
&SYSTEM
  ibrav = 0, nat = 4, ntyp = 3
/
ATOMIC_SPECIES
Ir 192.22 Ir.upf
Mn 54.94 Mn.upf
Se 78.96 Se.upf
CELL_PARAMETERS angstrom
-0.4308 -0.2759 2.9063
3.5230 -1.6398 0.3666
2.1780 4.8543 0.7837
ATOMIC_POSITIONS angstrom
Ir 2.1135 4.7107 0.7605
Ir 2.1445 0.3759 1.8517
Mn 0.9961 2.2202 0.3584
Se 3.2829 2.9132 2.2614
! ΔE_f (raw): 0.256 eV/atom
! M_tot: 0.9440 μB/atom


[7]
! MnIr2Se, optimized geometry, DFT GGA-PBE; values from VASP
&SYSTEM
  ibrav = 0, nat = 4, ntyp = 3
/
ATOMIC_SPECIES
Ir 192.22 Ir.upf
Mn 54.94 Mn.upf
Se 78.96 Se.upf
CELL_PARAMETERS angstrom
4.4131 0.0000 0.0000
2.2066 3.8219 0.0000
2.2066 1.2740 3.6033
ATOMIC_POSITIONS angstrom
Ir 0.0000 0.0000 0.0000
Ir 2.2066 1.2740 0.9008
Mn 4.4131 2.5479 1.8017
Se 6.6197 3.8219 2.7025
! ΔE_f (raw): 0.441 eV/atom
! M_tot: 0.6980 μB/atom


[8]
! MnIr2Se, optimized geometry, DFT GGA-PBE; values from VASP
&SYSTEM
  ibrav = 0, nat = 4, ntyp = 3
/
ATOMIC_SPECIES
Ir 192.22 Ir.upf
Mn 54.94 Mn.upf
Se 78.96 Se.upf
CELL_PARAMETERS angstrom
-1.2759 1.5220 -1.9676
-1.1641 -0.2072 2.5333
4.5861 7.3458 2.7081
ATOMIC_POSITIONS angstrom
Ir 0.0964 0.1544 0.0569
Ir 2.1967 3.5185 1.2971
Mn -0.0735 2.4938 0.9599
Se 2.2196 6.1667 2.3140
! ΔE_f (raw): 0.345 eV/atom
! M_tot: 0.9020 μB/atom


[9]
! MnIr3Se, optimized geometry, DFT GGA-PBE; values from VASP
&SYSTEM
  ibrav = 0, nat = 5, ntyp = 3
/
ATOMIC_SPECIES
Mn 54.94 Mn.upf
Ir 192.22 Ir.upf
Se 78.96 Se.upf
CELL_PARAMETERS angstrom
-4.2374 0.6116 -1.3591
-0.7669 -4.4071 0.4077
-1.2779 0.6166 4.2619
ATOMIC_POSITIONS angstrom
Mn 0.0000 0.0000 0.0000
Ir -0.3834 -2.2036 0.2038
Ir -0.6390 0.3083 2.1309
Ir -2.1187 0.3058 -0.6796
Se -3.1411 -1.5894 1.6552
! ΔE_f (raw): 1.477 eV/atom
! M_tot: 0.0000 μB/atom
! Distance to the lowest polymorph of the same formula: 1.50 eV per formula unit


[10]
! Mn2Ir2Se, optimized geometry, DFT GGA-PBE; values from VASP
&SYSTEM
  ibrav = 0, nat = 5, ntyp = 3
/
ATOMIC_SPECIES
Mn 54.94 Mn.upf
Ir 192.22 Ir.upf
Se 78.96 Se.upf
CELL_PARAMETERS angstrom
-2.0254 2.2618 6.2363
-4.0409 4.8781 2.8257
1.1896 -5.0643 -4.5878
ATOMIC_POSITIONS angstrom
Mn -2.9423 1.6919 1.3844
Mn -1.9345 0.3837 3.0898
Ir -3.6832 4.3350 5.5020
Ir -2.3832 2.8049 3.5600
Se 0.0000 0.0000 0.0000
! ΔE_f (raw): 0.386 eV/atom
! M_tot: 0.3178 μB/atom


[11]
! MnIrSe4, optimized geometry, DFT GGA-PBE; values from VASP
&SYSTEM
  ibrav = 0, nat = 6, ntyp = 3
/
ATOMIC_SPECIES
Mn 54.94 Mn.upf
Ir 192.22 Ir.upf
Se 78.96 Se.upf
CELL_PARAMETERS angstrom
1.4115 -4.2753 -3.2065
-3.8971 -3.4104 -1.9324
-1.2846 0.0348 -5.3760
ATOMIC_POSITIONS angstrom
Mn 0.0000 0.0000 0.0000
Ir -2.8276 -5.7382 -7.8862
Se -0.7170 -4.9979 -5.5442
Se -2.0548 -2.8591 -6.6207
Se -3.3512 -4.5686 -4.9119
Se -1.4174 -2.8763 -3.9530
! ΔE_f (raw): 1.122 eV/atom
! M_tot: 0.7014 μB/atom
! Distance to the lowest polymorph of the same formula: 8.81 eV per formula unit


[12]
! MnIr2Se, optimized geometry, DFT GGA-PBE; values from VASP
&SYSTEM
  ibrav = 0, nat = 4, ntyp = 3
/
ATOMIC_SPECIES
Ir 192.22 Ir.upf
Mn 54.94 Mn.upf
Se 78.96 Se.upf
CELL_PARAMETERS angstrom
3.8860 0.0000 0.0000
0.0000 2.8727 -0.0020
0.0000 1.4356 5.4213
ATOMIC_POSITIONS angstrom
Ir 0.0000 2.3332 0.0499
Ir 1.9430 0.8975 1.4125
Mn 0.0000 2.3344 2.7539
Se 1.9430 3.7701 3.9106
! ΔE_f (raw): 0.195 eV/atom
! M_tot: 0.8619 μB/atom


[13]
! MnIr2Se, optimized geometry, DFT GGA-PBE; values from VASP
&SYSTEM
  ibrav = 0, nat = 4, ntyp = 3
/
ATOMIC_SPECIES
Ir 192.22 Ir.upf
Mn 54.94 Mn.upf
Se 78.96 Se.upf
CELL_PARAMETERS angstrom
2.9475 0.0000 0.0000
0.0000 3.5445 0.0000
0.0000 0.0000 5.7186
ATOMIC_POSITIONS angstrom
Ir 0.0000 0.0000 0.0803
Ir 0.0000 0.0000 2.7790
Mn 1.4737 1.7722 1.4296
Se 1.4737 1.7722 4.2889
! ΔE_f (raw): 0.193 eV/atom
! M_tot: 0.8661 μB/atom


[14]
! Mn2SiIrSe, optimized geometry, DFT GGA-PBE; values from VASP
&SYSTEM
  ibrav = 0, nat = 5, ntyp = 4
/
ATOMIC_SPECIES
Mn 54.94 Mn.upf
Si 28.09 Si.upf
Ir 192.22 Ir.upf
Se 78.96 Se.upf
CELL_PARAMETERS angstrom
-2.3603 -3.6093 -0.9555
-0.5830 -0.7603 4.3120
-3.9562 2.6070 -0.0752
ATOMIC_POSITIONS angstrom
Mn -0.2915 -0.3802 2.1560
Mn -1.1801 -1.8046 -0.4778
Si -1.9781 1.3035 -0.0376
Ir -3.4497 -0.8813 1.6406
Se 0.0000 0.0000 0.0000
! ΔE_f (raw): 1.076 eV/atom
! M_tot: 1.4413 μB/atom


[15]
! SrMn2IrSe8, optimized geometry, DFT GGA-PBE; values from VASP
&SYSTEM
  ibrav = 0, nat = 12, ntyp = 4
/
ATOMIC_SPECIES
Sr 87.62 Sr.upf
Mn 54.94 Mn.upf
Ir 192.22 Ir.upf
Se 78.96 Se.upf
CELL_PARAMETERS angstrom
-1.2870 2.8463 -5.2582
2.9659 -5.3484 -0.0641
-7.7127 -4.2719 -0.4247
ATOMIC_POSITIONS angstrom
Sr 0.0000 0.0000 0.0000
Mn -1.7987 -0.9539 -3.6331
Mn -4.2351 -5.8201 -2.1140
Ir -3.8564 -2.1360 -0.2124
Se 1.5447 -2.6188 -1.7957
Se -1.9664 -2.3163 -1.8329
Se -0.5030 -4.7741 -3.6885
Se -7.5785 -4.1552 -3.9514
Se -5.5308 -1.9999 -2.0585
Se -4.0673 -4.4577 -3.9141
Se -5.4744 -1.7637 -5.4595
Se -0.5594 -5.0103 -0.2876
! ΔE_f (raw): -0.412 eV/atom
! M_tot: 0.2516 μB/atom


[16]
! MnTl2IrSe, optimized geometry, DFT GGA-PBE; values from VASP
&SYSTEM
  ibrav = 0, nat = 5, ntyp = 4
/
ATOMIC_SPECIES
Mn 54.94 Mn.upf
Tl 204.38 Tl.upf
Ir 192.22 Ir.upf
Se 78.96 Se.upf
CELL_PARAMETERS angstrom
5.2269 0.0000 0.0000
0.0000 4.4765 0.0000
0.0000 0.0000 5.2269
ATOMIC_POSITIONS angstrom
Mn 0.0000 0.0000 0.0000
Tl 0.0000 0.0000 2.6134
Tl 2.6134 0.0000 0.0000
Ir 0.0000 2.2383 0.0000
Se 2.6134 2.2383 2.6134
! ΔE_f (raw): 0.805 eV/atom
! M_tot: 0.4961 μB/atom


[17]
! MnZnIr2Se, optimized geometry, DFT GGA-PBE; values from VASP
&SYSTEM
  ibrav = 0, nat = 5, ntyp = 4
/
ATOMIC_SPECIES
Mn 54.94 Mn.upf
Zn 65.41 Zn.upf
Ir 192.22 Ir.upf
Se 78.96 Se.upf
CELL_PARAMETERS angstrom
-1.0109 0.1096 -4.5047
-3.8914 -1.9541 0.8257
-1.9657 4.1435 0.5419
ATOMIC_POSITIONS angstrom
Mn -1.9457 -0.9770 0.4129
Zn -3.4340 1.1495 -1.5685
Ir -0.9828 2.0717 0.2709
Ir -0.5054 0.0548 -2.2523
Se 0.0000 0.0000 0.0000
! ΔE_f (raw): 0.890 eV/atom
! M_tot: 0.6566 μB/atom


[18]
! ZrMnIrSe2, optimized geometry, DFT GGA-PBE; values from VASP
&SYSTEM
  ibrav = 0, nat = 5, ntyp = 4
/
ATOMIC_SPECIES
Mn 54.94 Mn.upf
Ir 192.22 Ir.upf
Se 78.96 Se.upf
Zr 91.22 Zr.upf
CELL_PARAMETERS angstrom
5.1132 0.0000 0.0000
0.0000 4.9235 0.0000
0.0000 0.0000 5.1132
ATOMIC_POSITIONS angstrom
Mn 2.5566 2.4618 2.5566
Ir 0.0000 2.4618 0.0000
Se 0.0000 0.0000 2.5566
Se 2.5566 0.0000 0.0000
Zr 0.0000 0.0000 0.0000
! ΔE_f (raw): 1.120 eV/atom
! M_tot: 0.0187 μB/atom


[19]
! MnSiIr2, optimized geometry, DFT GGA-PBE; values from VASP
&SYSTEM
  ibrav = 0, nat = 4, ntyp = 3
/
ATOMIC_SPECIES
Ir 192.22 Ir.upf
Mn 54.94 Mn.upf
Si 28.09 Si.upf
CELL_PARAMETERS angstrom
-1.6312 -1.3562 1.7378
0.5799 -1.1202 -2.4349
6.7666 -3.8211 3.3695
ATOMIC_POSITIONS angstrom
Ir 6.5882 -3.7203 3.2806
Ir 1.2760 -2.2556 0.5486
Mn 3.4963 -1.9743 1.7410
Si 4.5048 -4.0789 2.1564
! ΔE_f (raw): 0.030 eV/atom
! M_tot: 0.6833 μB/atom


[20]
! Mn2SiIr, optimized geometry, DFT GGA-PBE; values from VASP
&SYSTEM
  ibrav = 0, nat = 4, ntyp = 3
/
ATOMIC_SPECIES
Ir 192.22 Ir.upf
Mn 54.94 Mn.upf
Si 28.09 Si.upf
CELL_PARAMETERS angstrom
4.5205 -0.0084 0.0000
-1.6666 4.2021 0.0000
0.0000 0.0000 2.6948
ATOMIC_POSITIONS angstrom
Ir -0.8333 2.1010 1.3474
Mn 0.0000 0.0000 0.0000
Mn 1.4269 2.0968 0.0000
Si 2.2603 -0.0042 1.3474
! ΔE_f (raw): -0.263 eV/atom
! M_tot: 1.1200 μB/atom


[21]
! MnSiIr2, optimized geometry, DFT GGA-PBE; values from VASP
&SYSTEM
  ibrav = 0, nat = 4, ntyp = 3
/
ATOMIC_SPECIES
Ir 192.22 Ir.upf
Mn 54.94 Mn.upf
Si 28.09 Si.upf
CELL_PARAMETERS angstrom
-0.4096 -4.1730 -2.2557
2.3670 -3.4272 -2.3068
0.8715 -3.0377 3.0165
ATOMIC_POSITIONS angstrom
Ir 1.9895 -7.7010 -4.2903
Ir 2.0833 -7.8522 -1.3998
Mn 1.4701 -5.5169 -0.6357
Si 0.6578 -2.4871 -0.5560
! ΔE_f (raw): -0.323 eV/atom
! M_tot: 0.8833 μB/atom


[22]
! Mn4SiIr, optimized geometry, DFT GGA-PBE; values from VASP
&SYSTEM
  ibrav = 0, nat = 6, ntyp = 3
/
ATOMIC_SPECIES
Mn 54.94 Mn.upf
Si 28.09 Si.upf
Ir 192.22 Ir.upf
CELL_PARAMETERS angstrom
0.8612 -4.5532 -0.4466
-2.1840 -3.0621 2.7435
-3.2476 -2.8194 -1.7823
ATOMIC_POSITIONS angstrom
Mn -1.2430 -5.1131 1.2034
Mn -1.7696 -4.9929 -1.0373
Mn -2.8509 -6.5090 0.3210
Mn -3.2773 -4.2547 0.5421
Si -1.1426 -2.6087 0.1286
Ir 0.0000 0.0000 0.0000
! ΔE_f (raw): 0.128 eV/atom
! M_tot: 0.4843 μB/atom


[23]
! MnSiIr2, optimized geometry, DFT GGA-PBE; values from VASP
&SYSTEM
  ibrav = 0, nat = 4, ntyp = 3
/
ATOMIC_SPECIES
Ir 192.22 Ir.upf
Mn 54.94 Mn.upf
Si 28.09 Si.upf
CELL_PARAMETERS angstrom
-0.2838 2.6627 -2.8121
-2.1458 1.1493 1.3048
2.1229 3.6190 3.2124
ATOMIC_POSITIONS angstrom
Ir 0.3531 4.5257 4.2495
Ir 0.0275 2.4894 -0.3267
Mn -0.0737 2.5239 2.3972
Si -0.6478 5.0444 2.1606
! ΔE_f (raw): -0.256 eV/atom
! M_tot: 0.5697 μB/atom


[24]
! Mn2SiIr, optimized geometry, DFT GGA-PBE; values from VASP
&SYSTEM
  ibrav = 0, nat = 4, ntyp = 3
/
ATOMIC_SPECIES
Ir 192.22 Ir.upf
Mn 54.94 Mn.upf
Si 28.09 Si.upf
CELL_PARAMETERS angstrom
-1.8522 -6.5037 -4.7052
-1.9309 -7.6679 -2.3113
-4.0728 -6.3862 -3.2398
ATOMIC_POSITIONS angstrom
Ir -5.8919 -15.4183 -7.6922
Mn -7.8276 -20.4839 -10.2195
Mn -3.9561 -10.3527 -5.1650
Si -1.9640 -5.1394 -2.5641
! ΔE_f (raw): -0.112 eV/atom
! M_tot: 0.6380 μB/atom


[25]
! Mn2SiIr, optimized geometry, DFT GGA-PBE; values from VASP
&SYSTEM
  ibrav = 0, nat = 4, ntyp = 3
/
ATOMIC_SPECIES
Si 28.09 Si.upf
Ir 192.22 Ir.upf
Mn 54.94 Mn.upf
CELL_PARAMETERS angstrom
-0.9530 1.9981 -1.8681
-2.3389 -1.6211 -0.5408
-2.8945 2.7148 4.3802
ATOMIC_POSITIONS angstrom
Si -1.3956 1.3090 2.1120
Ir -3.7630 2.1741 1.9992
Mn -0.0775 0.0727 0.1174
Mn -2.3974 0.8934 -0.0672
! ΔE_f (raw): -0.311 eV/atom
! M_tot: 0.7454 μB/atom


[26]
! Mn2SiIr, optimized geometry, DFT GGA-PBE; values from VASP
&SYSTEM
  ibrav = 0, nat = 8, ntyp = 3
/
ATOMIC_SPECIES
Si 28.09 Si.upf
Ir 192.22 Ir.upf
Mn 54.94 Mn.upf
CELL_PARAMETERS angstrom
5.3317 0.0000 0.0000
0.0000 5.3317 0.0000
2.6659 2.6659 5.0791
ATOMIC_POSITIONS angstrom
Si 2.6659 2.6659 0.0000
Si 2.6659 5.3317 2.5395
Ir 0.0000 0.0000 0.0000
Ir 5.3317 2.6659 2.5395
Mn 4.0006 1.3329 1.2698
Mn 1.3311 3.9988 1.2698
Mn 3.9988 3.9970 3.8093
Mn 6.6646 6.6664 3.8093
! ΔE_f (raw): 0.928 eV/atom
! M_tot: 0.0001 μB/atom


[27]
! MnSi3Ir, optimized geometry, DFT GGA-PBE; values from VASP
&SYSTEM
  ibrav = 0, nat = 5, ntyp = 3
/
ATOMIC_SPECIES
Si 28.09 Si.upf
Ir 192.22 Ir.upf
Mn 54.94 Mn.upf
CELL_PARAMETERS angstrom
4.2821 0.0000 0.0000
0.0000 4.2821 0.0000
0.0000 0.0000 4.2821
ATOMIC_POSITIONS angstrom
Si 0.0000 2.1411 0.0000
Si 0.0000 0.0000 2.1411
Si 2.1411 0.0000 0.0000
Ir 2.1411 2.1411 2.1411
Mn 0.0000 0.0000 0.0000
! ΔE_f (raw): 0.659 eV/atom
! M_tot: 0.1934 μB/atom
! Distance to the lowest polymorph of the same formula: 0.00 eV per formula unit


[28]
! MnSiIr, optimized geometry, DFT GGA-PBE; values from VASP
&SYSTEM
  ibrav = 0, nat = 3, ntyp = 3
/
ATOMIC_SPECIES
Ir 192.22 Ir.upf
Mn 54.94 Mn.upf
Si 28.09 Si.upf
CELL_PARAMETERS angstrom
-1.5487 2.0888 0.8723
-1.1700 -2.1552 -1.2282
-0.6266 -2.6714 5.2844
ATOMIC_POSITIONS angstrom
Ir -0.6212 -2.6487 5.2395
Mn -1.5146 -1.6716 1.3137
Si -1.8360 -1.0889 3.6596
! ΔE_f (raw): -0.196 eV/atom
! M_tot: 0.5624 μB/atom
! Distance to the lowest polymorph of the same formula: 1.01 eV per formula unit


Uncorrected energy across the listed records, respectively: -150.9 -29.7 -35.8 -29.5 -29.4 -29.4 -28.6 -29.0 -31.9 -37.6 -25.2 -29.6 -29.6 -30.7 -61.7 -22.2 -27.2 -27.9 -32.2 -33.7 -33.6 -50.2 -33.3 -33.1 -33.9 -57.8 -31.0 -24.0 eV for the cell shown.
Volume across the listed records, respectively: 547 60 113 60 60 62 61 62 91 73 119 61 60 92 286 122 95 129 56 51 55 71 55 50 50 144 79 39 Å³/cell.